# SrErMgAl (PBE-GGA, optimized geometry)
data_SrErMgAl
_chemical_formula_sum 'Sr1 Er1 Mg1 Al1'
_space_group_name_H-M_alt 'P 1'
_space_group_IT_number 1
_space_group_name_Hall 'P 1'
_cell_length_a 5.421
_cell_length_b 5.421
_cell_length_c 5.421
_cell_angle_alpha 60.00
_cell_angle_beta 60.00
_cell_angle_gamma 60.00
loop_
_atom_site_label
_atom_site_type_symbol
_atom_site_fract_x
_atom_site_fract_y
_atom_site_fract_z
Sr1 Sr 0.000 0.000 0.000
Er1 Er 0.500 0.500 0.500
Mg1 Mg 0.750 0.750 0.750
Al1 Al 0.250 0.250 0.250
# Symmetry: F-43m (216)
# Energy of formation (eV per atom): -0.0954
# Fermi-level density of states (states/eV/atom): 0.69
# Energy (eV per atom): -2.991

# ErThMgAl (PBE-GGA, optimized geometry)
data_ErThMgAl
_chemical_formula_sum 'Er1 Th1 Mg1 Al1'
_space_group_name_H-M_alt 'P 1'
_space_group_IT_number 1
_space_group_name_Hall 'P 1'
_cell_length_a 5.249
_cell_length_b 5.249
_cell_length_c 5.249
_cell_angle_alpha 60.00
_cell_angle_beta 60.00
_cell_angle_gamma 60.00
loop_
_atom_site_label
_atom_site_type_symbol
_atom_site_fract_x
_atom_site_fract_y
_atom_site_fract_z
Er1 Er 0.000 0.000 0.000
Th1 Th 0.500 0.500 0.500
Mg1 Mg 0.750 0.750 0.750
Al1 Al 0.250 0.250 0.250
# Symmetry: F-43m (216)
# Energy of formation (eV per atom): -0.1585
# Fermi-level density of states (states/eV/atom): 0.71
# Energy (eV per atom): -4.488

# ErMgAlTl (PBE-GGA, optimized geometry)
data_ErMgAlTl
_chemical_formula_sum 'Er1 Mg1 Al1 Tl1'
_space_group_name_H-M_alt 'P 1'
_space_group_IT_number 1
_space_group_name_Hall 'P 1'
_cell_length_a 5.101
_cell_length_b 5.101
_cell_length_c 5.101
_cell_angle_alpha 60.00
_cell_angle_beta 60.00
_cell_angle_gamma 60.00
loop_
_atom_site_label
_atom_site_type_symbol
_atom_site_fract_x
_atom_site_fract_y
_atom_site_fract_z
Er1 Er 0.000 0.000 0.000
Mg1 Mg 0.500 0.500 0.500
Al1 Al 0.750 0.750 0.750
Tl1 Tl 0.250 0.250 0.250
# Symmetry: F-43m (216)
# Energy of formation (eV per atom): -0.1405
# Fermi-level density of states (states/eV/atom): 0.45
# Energy (eV per atom): -3.207